No. 1
Y2ReP, optimized geometry, DFT GGA-PBE; formation energy from the elements = -0.39 eV/atom; VASP energy = -8.083 eV per atom
1.0
6.896 -2.065 -0.027
6.896 2.065 -0.027
6.292 0.000 3.498
Re Y P
1 2 1
direct
0.208 0.208 0.208
0.787 0.787 0.787
0.963 0.963 0.963
0.542 0.542 0.542

No. 2
Ta2BeCd, optimized geometry, DFT GGA-PBE; E above lowest polymorph = 246.9 meV per atom; formation energy from the elements = 0.36 eV/atom; VASP energy = -6.726 eV per atom
1.0
-1.319 -2.984 -0.872
-0.437 -0.760 3.261
-5.614 2.530 -0.163
Ta Be Cd
2 1 1
direct
0.500 0.500 0.259
0.000 0.000 0.046
0.000 0.000 0.464
0.500 0.500 0.731

No. 3
VRh, optimized geometry, DFT GGA-PBE; formation energy from the elements = -0.37 eV/atom; VASP energy = -8.602 eV per atom
1.0
2.731 0.000 0.000
0.000 2.731 0.000
0.000 0.000 3.681
V Rh
1 1
direct
0.500 0.500 0.500
0.000 0.000 0.000

No. 4
Co2MoRh, optimized geometry, DFT GGA-PBE; E above lowest polymorph = 102.1 meV per atom; formation energy from the elements = 0.06 eV/atom; VASP energy = -8.036 eV per atom
1.0
4.489 -0.003 0.001
-1.386 4.269 0.001
-0.001 -0.001 2.661
Co Rh Mo
2 1 1
direct
0.000 0.000 0.000
0.500 0.500 0.000
0.000 0.500 0.500
0.500 0.000 0.500

No. 5
TaAgW3, optimized geometry, DFT GGA-PBE; E above lowest polymorph = 0.0 meV per atom; formation energy from the elements = 2.29 eV/atom; VASP energy = -8.426 eV per atom
1.0
-4.355 -1.970 -0.249
1.183 -2.091 -4.139
1.595 -3.828 2.389
Ta W Ag
1 3 1
direct
0.000 0.000 0.000
0.000 0.000 0.500
0.000 0.500 0.000
0.500 0.000 0.000
0.500 0.500 0.500

No. 6
Sm3ScRu8, optimized geometry, DFT GGA-PBE; formation energy from the elements = -0.22 eV/atom; VASP energy = -8.114 eV per atom
1.0
-1.695 0.767 4.995
-0.131 -4.081 3.426
7.601 0.727 5.334
Ru Sm Sc
8 3 1
direct
0.689 0.689 0.933
0.441 0.939 0.682
0.939 0.939 0.682
0.439 0.439 0.194
0.928 0.439 0.195
0.439 0.928 0.195
0.190 0.190 0.431
0.939 0.441 0.682
0.500 0.500 0.500
0.374 0.374 0.877
0.998 0.998 0.005
0.875 0.875 0.376

No. 7
RbNa3Cd, optimized geometry, DFT GGA-PBE; E above lowest polymorph = 47.1 meV per atom; formation energy from the elements = 0.03 eV/atom; VASP energy = -1.136 eV per atom
1.0
6.104 0.000 0.000
0.000 6.104 0.000
0.000 0.000 6.104
Cd Na Rb
1 3 1
direct
0.000 0.000 0.000
0.500 0.000 0.000
0.000 0.500 0.000
0.000 0.000 0.500
0.500 0.500 0.500

No. 8
RbPuAg2Te4, optimized geometry, DFT GGA-PBE; E_form (uncorrected) = -0.3672 eV per atom; VASP energy = -4.563 eV per atom
1.0
-4.699 -3.979 1.683
1.527 -7.016 -0.217
-0.191 -1.973 6.905
Ag Te Rb Pu
2 4 1 1
direct
0.845 0.655 0.655
0.155 0.345 0.345
0.486 0.479 0.946
0.089 0.946 0.479
0.514 0.054 0.521
0.911 0.521 0.054
0.000 0.000 0.000
0.500 0.500 0.500

No. 9
PaZnMoRu, optimized geometry, DFT GGA-PBE; formation energy from the elements = -0.06 eV/atom; VASP energy = -7.778 eV per atom
1.0
4.604 0.000 0.000
2.302 3.987 0.000
2.302 1.329 3.759
Mo Zn Ru Pa
1 1 1 1
direct
0.250 0.250 0.250
0.500 0.500 0.500
0.750 0.750 0.750
0.000 0.000 0.000

No. 10
CsRbH2, optimized geometry, DFT GGA-PBE; E above lowest polymorph = 50.1 meV per atom; VASP energy = -2.233 eV per atom
1.0
4.818 -1.046 1.823
1.796 2.495 4.263
0.589 -2.614 4.522
Cs H Rb
1 2 1
direct
0.500 0.500 0.500
0.250 0.250 0.250
0.750 0.750 0.750
0.000 0.000 0.000

> The lowest VASP energy belongs to which entry?

VRh